Ag2OsSe after structural relaxation. Source: Alexandria, functional PBE.

Cell: 4.264 2.934 11.214 Å, 90.00 90.00 90.00°
Fractional coordinates of all 8 atoms:
Ag1 0.000 0.000 0.000
Ag2 0.000 0.500 0.500
Ag3 0.500 0.000 0.374
Ag4 0.500 0.500 0.874
Os1 0.500 0.000 0.630
Os2 0.500 0.500 0.130
Se1 0.000 0.000 0.731
Se2 0.000 0.500 0.231

Results
Fermi-level density of states in states/eV per atom: 0.784
Raw formation energy in kJ per mole of atoms: 50
Mass density in g/cm³: 11.480
E_tot in eV per atom: -4.583